No. 1
The following is a PBE calculation of a relaxed structure of Cs2VI4Cl2, from Alexandria.

The structure belongs to space group C2/m (No. 12); the cell edges are 13.6809, 8.1825 and 6.8338 Å and the angles 90.00°, 99.12° and 90.00°. Symmetry generates all atoms from Cs at (0.1532, 0.0000, 0.2825), V at (0.0000, 0.5000, 0.5000), I at (0.0976, 0.2602, 0.7465) and Cl at (0.1249, 0.5000, 0.3194).

The calculation puts the raw total energy at -3.4104 eV per atom. The value obtained for the formation energy without anion corrections is -1.11 eV per atom.

=====

No. 2
The following is a PBE calculation of a relaxed structure of Cs2WI4Cl2, from Alexandria.

The structure belongs to space group C2/m (No. 12); the cell edges are 13.4724, 8.2622 and 6.8608 Å and the angles 90.00°, 97.68° and 90.00°. Symmetry generates all atoms from Cs at (0.1613, 0.0000, 0.2856), W at (0.0000, 0.5000, 0.0000), I at (0.0927, 0.2609, 0.8002) and Cl at (0.1389, 0.5000, 0.2515).

The calculation puts the raw total energy at -3.6550 eV per atom. The value obtained for the formation energy without anion corrections is -0.93 eV per atom.

=====

No. 3
The following is a PBE calculation of a relaxed structure of Cs2WICl6, from Alexandria.

The structure belongs to space group Fm-3m (No. 225); the cell edges are 11.7701, 11.7701 and 11.7701 Å and the angles 90.00°, 90.00° and 90.00°. Symmetry generates all atoms from Cs at (0.2500, 0.2500, 0.2500), W at (0.0000, 0.0000, 0.0000), I at (0.0000, 0.0000, 0.5000) and Cl at (0.0000, 0.0000, 0.2006).

The calculation puts the raw total energy at -3.8754 eV per atom. The value obtained for the formation energy without anion corrections is -1.15 eV per atom.

=====

No. 4
The following is a PBE calculation of a relaxed structure of Cs2YICl6, from Alexandria.

The structure belongs to space group I4/mmm (No. 139); the cell edges are 8.8476, 8.8476 and 10.5250 Å and the angles 90.00°, 90.00° and 90.00°. Symmetry generates all atoms from Cs at (0.0000, 0.5000, 0.2500), Y at (0.0000, 0.0000, 0.0000), I at (0.0000, 0.0000, 0.5000), Cl at (0.0000, 0.0000, 0.2583) and Cl at (0.2084, 0.2084, 0.0000).

The calculation puts the raw total energy at -3.7595 eV per atom. The value obtained for the formation energy without anion corrections is -1.68 eV per atom.

=====

No. 5
The following is a PBE calculation of a relaxed structure of CsYICl2, from Alexandria.

The structure belongs to space group P4/mmm (No. 123); the cell edges are 5.4394, 5.4394 and 6.1166 Å and the angles 90.00°, 90.00° and 90.00°. Symmetry generates all atoms from Cs at (0.0000, 0.0000, 0.0000), Y at (0.5000, 0.5000, 0.5000), I at (0.5000, 0.5000, 0.0000) and Cl at (0.0000, 0.5000, 0.5000).

The calculation puts the raw total energy at -4.2003 eV per atom. The value obtained for the formation energy without anion corrections is -1.69 eV per atom.

=====

No. 6
The following is a PBE calculation of a relaxed structure of Cs2YI6Cl, from Alexandria.

The structure belongs to space group I4/mmm (No. 139); the cell edges are 9.4767, 9.4767 and 11.4979 Å and the angles 90.00°, 90.00° and 90.00°. Symmetry generates all atoms from Cs at (0.0000, 0.5000, 0.2500), Y at (0.0000, 0.0000, 0.0000), I at (0.0000, 0.0000, 0.2738), I at (0.2226, 0.2226, 0.0000) and Cl at (0.0000, 0.0000, 0.5000).

The calculation puts the raw total energy at -3.0403 eV per atom. The value obtained for the formation energy without anion corrections is -1.11 eV per atom.

=====

No. 7
The following is a PBE calculation of a relaxed structure of Cs2ZrI2Cl4, from Alexandria.

The structure belongs to space group I4/mmm (No. 139); the cell edges are 8.0716, 8.0716 and 10.9585 Å and the angles 90.00°, 90.00° and 90.00°. Symmetry generates all atoms from Cs at (0.0000, 0.5000, 0.2500), Zr at (0.0000, 0.0000, 0.0000), I at (0.0000, 0.0000, 0.2656) and Cl at (0.2177, 0.2177, 0.0000).

The calculation puts the raw total energy at -4.0424 eV per atom. The value obtained for the formation energy without anion corrections is -1.74 eV per atom.

=====

No. 8
The following is a PBE calculation of a relaxed structure of Cs2ZrI4Cl2, from Alexandria.

The structure belongs to space group C2/m (No. 12); the cell edges are 13.7160, 8.3526 and 6.9497 Å and the angles 90.00°, 98.71° and 90.00°. Symmetry generates all atoms from Cs at (0.1639, 0.0000, 0.2907), Zr at (0.0000, 0.5000, 0.0000), I at (0.0948, 0.2532, 0.7990) and Cl at (0.1423, 0.5000, 0.2634).

The calculation puts the raw total energy at -3.7111 eV per atom. The value obtained for the formation energy without anion corrections is -1.47 eV per atom.